# 1
The following is a DFT calculation (meta-GGA SCAN) of a crystal of MnTlN2F relaxed with PBEsol.

Properties
* space-group type: P4/mmm (123)

abc: 4.2023 4.2023 4.3756
angles: 90.00 90.00 90.00
Positions (direct):
Mn 0.0000 0.0000 0.0000
Tl 0.5000 0.5000 0.5000
N 0.0000 0.5000 0.5000
N 0.5000 0.0000 0.5000
F 0.5000 0.5000 0.0000

=====

# 2
The following is a DFT calculation (meta-GGA SCAN) of a crystal of Na4Zr2TiMnSi4O16F2 relaxed with PBEsol.

Properties
* space-group type: P2/c (13)

abc: 5.5917 7.1236 18.4426
angles: 90.00 102.58 90.00
Positions (direct):
Na 0.0000 0.1082 0.2500
Na 0.0000 0.8918 0.7500
Na 0.2036 0.1128 0.0703
Na 0.2036 0.8872 0.5703
Na 0.5000 0.3465 0.2500
Na 0.5000 0.6535 0.7500
Na 0.7964 0.1128 0.4297
Na 0.7964 0.8872 0.9297
Zr 0.1979 0.3786 0.5747
Zr 0.1979 0.6214 0.0747
Zr 0.8021 0.3786 0.9253
Zr 0.8021 0.6214 0.4253
Ti 0.0000 0.3893 0.7500
Ti 0.0000 0.6107 0.2500
Mn 0.5000 0.1546 0.7500
Mn 0.5000 0.8454 0.2500
Si 0.2779 0.1142 0.8957
Si 0.2779 0.8858 0.3957
Si 0.2796 0.3425 0.3951
Si 0.2796 0.6575 0.8951
Si 0.7204 0.3425 0.1049
Si 0.7204 0.6575 0.6049
Si 0.7221 0.1142 0.6043
Si 0.7221 0.8858 0.1043
O 0.0760 0.1759 0.9422
O 0.0760 0.8241 0.4422
O 0.0982 0.4108 0.4492
O 0.0982 0.5892 0.9492
O 0.1771 0.4159 0.3104
O 0.1771 0.5841 0.8104
O 0.2146 0.1903 0.8096
O 0.2146 0.8097 0.3096
O 0.2333 0.3670 0.6854
O 0.2333 0.6330 0.1854
O 0.2607 0.1145 0.3892
O 0.2607 0.8855 0.8892
O 0.4367 0.4026 0.0778
O 0.4367 0.5974 0.5778
O 0.4437 0.1753 0.5647
O 0.4437 0.8247 0.0647
O 0.5563 0.1753 0.9353
O 0.5563 0.8247 0.4353
O 0.5633 0.4026 0.4222
O 0.5633 0.5974 0.9222
O 0.7393 0.1145 0.1108
O 0.7393 0.8855 0.6108
O 0.7667 0.3670 0.8146
O 0.7667 0.6330 0.3146
O 0.7854 0.1903 0.6904
O 0.7854 0.8097 0.1904
O 0.8229 0.4159 0.1896
O 0.8229 0.5841 0.6896
O 0.9018 0.4108 0.0508
O 0.9018 0.5892 0.5508
O 0.9240 0.1759 0.5578
O 0.9240 0.8241 0.0578
F 0.3072 0.0753 0.1927
F 0.3072 0.9247 0.6927
F 0.6928 0.0753 0.3073
F 0.6928 0.9247 0.8073

=====

# 3
The following is a DFT calculation (meta-GGA SCAN) of a crystal of Rb2NaMnF6 relaxed with PBEsol.

Properties
* space-group type: Fm-3m (225)

abc: 5.9510 5.9510 5.9510
angles: 60.00 60.00 60.00
Positions (direct):
Rb 0.2500 0.2500 0.2500
Rb 0.7500 0.7500 0.7500
Na 0.0000 0.0000 0.0000
Mn 0.5000 0.5000 0.5000
F 0.2700 0.2700 0.7300
F 0.2700 0.7300 0.2700
F 0.2700 0.7300 0.7300
F 0.7300 0.2700 0.2700
F 0.7300 0.2700 0.7300
F 0.7300 0.7300 0.2700

=====

# 4
The following is a DFT calculation (meta-GGA SCAN) of a crystal of MnNiOF2 relaxed with PBEsol.

Properties
* space-group type: P4/mmm (123)

abc: 3.8718 3.8718 3.7730
angles: 90.00 90.00 90.00
Positions (direct):
Mn 0.0000 0.0000 0.0000
Ni 0.5000 0.5000 0.5000
O 0.0000 0.0000 0.5000
F 0.0000 0.5000 0.0000
F 0.5000 0.0000 0.0000

=====

# 5
The following is a DFT calculation (meta-GGA SCAN) of a crystal of MnNiOF2 relaxed with PBEsol.

Properties
* space-group type: P4/mmm (123)

abc: 3.7639 3.7639 3.8359
angles: 90.00 90.00 90.00
Positions (direct):
Mn 0.0000 0.0000 0.0000
Ni 0.5000 0.5000 0.5000
O 0.5000 0.5000 0.0000
F 0.0000 0.5000 0.5000
F 0.5000 0.0000 0.5000

=====

# 6
The following is a DFT calculation (meta-GGA SCAN) of a crystal of Mn2OF3 relaxed with PBEsol.

Properties
* space-group type: P2_1/c (14)

abc: 6.9685 9.7302 5.8214
angles: 90.00 104.94 90.00
Positions (direct):
Mn 0.0000 0.0000 0.0000
Mn 0.0000 0.5000 0.5000
Mn 0.1568 0.1218 0.6314
Mn 0.1568 0.3782 0.1314
Mn 0.5000 0.0000 0.0000
Mn 0.5000 0.5000 0.5000
Mn 0.8432 0.6218 0.8686
Mn 0.8432 0.8782 0.3686
O 0.2294 0.5207 0.3915
O 0.2294 0.9793 0.8915
O 0.7706 0.0207 0.1085
O 0.7706 0.4793 0.6085
F 0.0650 0.2184 0.9226
F 0.0650 0.2816 0.4226
F 0.1364 0.5043 0.8432
F 0.1364 0.9957 0.3432
F 0.4662 0.1403 0.7708
F 0.4662 0.3597 0.2708
F 0.5338 0.6403 0.7292
F 0.5338 0.8597 0.2292
F 0.8636 0.0043 0.6568
F 0.8636 0.4957 0.1568
F 0.9350 0.7184 0.5774
F 0.9350 0.7816 0.0774

=====

# 7
The following is a DFT calculation (meta-GGA SCAN) of a crystal of Mn6O5F7 relaxed with PBEsol.

Properties
* space-group type: C2 (5)

abc: 5.5719 5.5719 7.8546
angles: 111.51 111.51 68.09
Positions (direct):
Mn 0.0000 0.0000 0.0000
Mn 0.2897 0.3570 0.8234
Mn 0.3024 0.3691 0.3339
Mn 0.6309 0.6976 0.6661
Mn 0.6430 0.7103 0.1766
Mn 0.9665 0.0335 0.5000
O 0.0014 0.6729 0.3363
O 0.2932 0.7068 0.0000
O 0.3271 0.9986 0.6637
O 0.6057 0.0677 0.3370
O 0.9323 0.3943 0.6630
F 0.0797 0.1438 0.2956
F 0.2043 0.2442 0.0293
F 0.4146 0.4728 0.6385
F 0.5272 0.5854 0.3615
F 0.6832 0.3168 0.0000
F 0.7558 0.7957 0.9707
F 0.8562 0.9203 0.7044

=====

# 8
The following is a DFT calculation (meta-GGA SCAN) of a crystal of Mn2O3F relaxed with PBEsol.

Properties
* space-group type: Amm2 (38)

abc: 8.7946 4.4948 4.4948
angles: 87.28 90.00 90.00
Positions (direct):
Mn 0.0000 0.0000 0.0000
Mn 0.1666 0.4651 0.4651
Mn 0.3333 0.9873 0.9873
Mn 0.5000 0.5141 0.5141
Mn 0.6667 0.9873 0.9873
Mn 0.8334 0.4651 0.4651
O 0.0000 0.2779 0.6703
O 0.0000 0.6703 0.2779
O 0.1662 0.1754 0.1754
O 0.3325 0.2977 0.6853
O 0.3325 0.6853 0.2977
O 0.5000 0.8011 0.8011
O 0.6675 0.2977 0.6853
O 0.6675 0.6853 0.2977
O 0.8338 0.1754 0.1754
F 0.1573 0.7757 0.7757
F 0.5000 0.2087 0.2087
F 0.8427 0.7757 0.7757

=====

# 9
The following is a DFT calculation (meta-GGA SCAN) of a crystal of Mn6O7F5 relaxed with PBEsol.

Properties
* space-group type: Cm (8)

abc: 5.4799 5.4799 7.7886
angles: 112.62 112.62 68.23
Positions (direct):
Mn 0.0000 0.0000 0.0000
Mn 0.0072 0.0072 0.4922
Mn 0.3387 0.3387 0.8335
Mn 0.3476 0.3476 0.3245
Mn 0.6777 0.6777 0.6742
Mn 0.6862 0.6862 0.1392
O 0.0455 0.6473 0.3174
O 0.3126 0.7025 0.9993
O 0.3716 0.9782 0.6584
O 0.6473 0.0455 0.3174
O 0.7025 0.3126 0.9993
O 0.7752 0.7752 0.9398
O 0.9782 0.3716 0.6584
F 0.1295 0.1295 0.3038
F 0.2225 0.2225 0.0189
F 0.4565 0.4565 0.6394
F 0.5756 0.5756 0.3823
F 0.8893 0.8893 0.6788

=====

# 10
The following is a DFT calculation (meta-GGA SCAN) of a crystal of Mn3O4F2 relaxed with PBEsol.

Properties
* space-group type: P2_1/c (14)

abc: 4.5213 4.5035 10.0082
angles: 90.00 116.57 90.00
Positions (direct):
Mn 0.0000 0.0000 0.0000
Mn 0.0000 0.5000 0.5000
Mn 0.3084 0.0203 0.3408
Mn 0.3084 0.4797 0.8408
Mn 0.6916 0.5203 0.1592
Mn 0.6916 0.9797 0.6592
O 0.0183 0.1778 0.8297
O 0.0183 0.3222 0.3297
O 0.3084 0.6950 0.0001
O 0.3084 0.8050 0.5001
O 0.6916 0.1950 0.4999
O 0.6916 0.3050 0.9999
O 0.9817 0.6778 0.6703
O 0.9817 0.8222 0.1703
F 0.3808 0.2260 0.1795
F 0.3808 0.2740 0.6795
F 0.6192 0.7260 0.3205
F 0.6192 0.7740 0.8205

=====

# 11
The following is a DFT calculation (meta-GGA SCAN) of a crystal of Mn2O3F relaxed with PBEsol.

Properties
* space-group type: P2_1/c (14)

abc: 5.3755 4.4856 9.8810
angles: 90.00 96.38 90.00
Positions (direct):
Mn 0.0000 0.0000 0.0000
Mn 0.0000 0.5000 0.5000
Mn 0.2453 0.0190 0.7392
Mn 0.2453 0.4810 0.2392
Mn 0.5000 0.0000 0.5000
Mn 0.5000 0.5000 0.0000
Mn 0.7547 0.5190 0.7608
Mn 0.7547 0.9810 0.2608
O 0.0175 0.6965 0.6753
O 0.0175 0.8035 0.1753
O 0.2257 0.1950 0.5711
O 0.2257 0.3050 0.0711
O 0.4854 0.1955 0.3286
O 0.4854 0.3045 0.8286
O 0.5146 0.6955 0.1714
O 0.5146 0.8045 0.6714
O 0.7743 0.6950 0.9289
O 0.7743 0.8050 0.4289
O 0.9825 0.1965 0.8247
O 0.9825 0.3035 0.3247
F 0.2836 0.6947 0.4155
F 0.2836 0.8053 0.9155
F 0.7164 0.1947 0.0845
F 0.7164 0.3053 0.5845

=====

# 12
The following is a DFT calculation (meta-GGA SCAN) of a crystal of Mn3O4F2 relaxed with PBEsol.

Properties
* space-group type: P1 (1)

abc: 4.5210 5.4235 7.4706
angles: 85.57 88.85 88.23
Positions (direct):
Mn 0.0000 0.0000 0.0000
Mn 0.0041 0.3529 0.6938
Mn 0.4682 0.8219 0.6589
Mn 0.5004 0.5090 0.0127
Mn 0.5198 0.1623 0.3374
Mn 0.9831 0.6778 0.3347
O 0.1876 0.7072 0.1062
O 0.2011 0.0477 0.7748
O 0.3028 0.8770 0.4372
O 0.3037 0.5437 0.7784
O 0.6913 0.4617 0.2410
O 0.8007 0.9640 0.2288
O 0.8030 0.6342 0.5707
O 0.8043 0.3028 0.9106
F 0.2003 0.3692 0.4458
F 0.2889 0.2000 0.1102
F 0.6945 0.8139 0.8898
F 0.7083 0.1377 0.5812

=====

In the order shown, the computed ΔE_f (raw) values come out to 0.90 -3.08 -2.99 -1.54 -1.65 -2.50 -2.53 -2.27 -2.40 -2.32 -2.23 -2.30 eV per atom.